## P
Below is a relaxed structure of KV3Pb4O12, with properties calculated at the GGA+U level.

Properties
magnetic moment: 0.0 μB per cell

Cell lengths 10.3352, 10.3352, 7.5823 Å; angles 90.00, 90.00, 120.00 degrees
With the nearest neighbours (Å) after each atom.
Sites, in units of the cell vectors:
O: 0.9090 0.4182 0.7618  1 V 1.77
Pb: 0.9981 0.2580 0.7547  1 O 2.26
O: 0.3443 0.2553 0.5664  1 V 1.73
O: 0.3248 0.2524 0.9258  1 V 1.73
O: 0.2553 0.9111 0.0664  1 V 1.73
Pb: 0.2599 0.0019 0.7547  1 O 2.26
O: 0.7447 0.0889 0.5664  1 V 1.73
Pb: 0.7401 0.9981 0.2547  1 O 2.26
V: 0.6275 0.0136 0.7465  4 O 1.73-1.77
O: 0.0889 0.3443 0.0664  1 V 1.73
O: 0.7092 0.5270 0.2313  1 V 1.76
K: 0.3333 0.6667 0.0144  9 O 2.82-3.04
O: 0.5092 0.0910 0.7618  1 V 1.77
O: 0.2908 0.4730 0.7313  1 V 1.76
O: 0.4730 0.1822 0.2313  1 V 1.76
O: 0.8178 0.2908 0.2313  1 V 1.76
Pb: 0.3333 0.6667 0.5258  3 O 2.40
O: 0.4182 0.5092 0.2618  1 V 1.77
O: 0.5818 0.4908 0.7618  1 V 1.77
O: 0.5270 0.8178 0.7313  1 V 1.76
O: 0.4908 0.9090 0.2618  1 V 1.77
Pb: 0.7420 0.7401 0.7547  1 O 2.26
O: 0.9276 0.6752 0.9258  1 V 1.73
K: 0.6667 0.3333 0.5144  9 O 2.82-3.04
Pb: 0.2580 0.2599 0.2547  1 O 2.26
V: 0.6140 0.6275 0.2465  4 O 1.73-1.77
V: 0.0136 0.3860 0.2465  4 O 1.73-1.77
O: 0.0910 0.5818 0.2618  1 V 1.77
V: 0.3725 0.9864 0.2465  4 O 1.73-1.77
Pb: 0.6667 0.3333 0.0258  3 O 2.40
O: 0.6557 0.7447 0.0664  1 V 1.73
O: 0.1822 0.7092 0.7313  1 V 1.76
V: 0.3860 0.3725 0.7465  4 O 1.73-1.77
O: 0.2524 0.9276 0.4258  1 V 1.73
O: 0.0724 0.3248 0.4258  1 V 1.73
O: 0.9111 0.6557 0.5664  1 V 1.73
O: 0.7476 0.0724 0.9258  1 V 1.73
O: 0.6752 0.7476 0.4258  1 V 1.73
Pb: 0.0019 0.7420 0.2547  1 O 2.26
V: 0.9864 0.6140 0.7465  4 O 1.73-1.77

## Q
Below is a relaxed structure of KV3Pb4O12, with properties calculated at the GGA+U level.

Properties
magnetic moment: 4.5 μB per cell

Cell lengths 7.2992, 7.2992, 7.2992 Å; angles 109.47, 109.47, 109.47 degrees
With the nearest neighbours (Å) after each atom.
Sites, in units of the cell vectors:
O: 0.5050 0.6617 0.8433  1 V 1.90
O: 0.3383 0.8433 0.1816  1 V 1.90
K: 0.0000 0.0000 0.0000  12 O 3.14
V: 0.5000 0.5000 0.0000  4 O 1.90
O: 0.6617 0.1567 0.8184  1 V 1.90
O: 0.8433 0.1816 0.3383  1 V 1.90
O: 0.3383 0.1567 0.4950  1 V 1.90
O: 0.6617 0.8433 0.5050  1 V 1.90
O: 0.8433 0.5050 0.6617  1 V 1.90
V: 0.0000 0.5000 0.5000  4 O 1.90
O: 0.8184 0.6617 0.1567  1 V 1.90
Pb: 0.5000 0.5000 0.5000  6 O 2.37
O: 0.1567 0.8184 0.6617  1 V 1.90
O: 0.1567 0.4950 0.3383  1 V 1.90
Pb: 0.5000 0.0000 0.0000  6 O 2.37
V: 0.5000 0.0000 0.5000  4 O 1.90
O: 0.1816 0.3383 0.8433  1 V 1.90
Pb: 0.0000 0.0000 0.5000  6 O 2.37
Pb: 0.0000 0.5000 0.0000  6 O 2.37
O: 0.4950 0.3383 0.1567  1 V 1.90

Short version: P is the most stable of them.

## P
Below is a relaxed structure of KVPbO4, with properties calculated at the GGA+U level.

Properties
magnetic moment: 0.0 μB per cell

Cell lengths 5.8753, 7.9053, 10.4038 Å; angles 90.00, 90.00, 90.00 degrees
With the nearest neighbours (Å) after each atom.
Sites, in units of the cell vectors:
K: 0.7500 0.3134 0.4054  7 O 2.79-3.08
O: 0.2500 0.0384 0.6196  1 V 1.71
O: 0.7500 0.2337 0.9062  1 V 1.78
O: 0.9938 0.6542 0.3628  1 V 1.75
Pb: 0.7500 0.9822 0.7257  3 O 2.34-2.40
O: 0.7500 0.4616 0.1196  1 V 1.71
Pb: 0.7500 0.4822 0.7743  3 O 2.34-2.40
O: 0.4938 0.3458 0.6372  1 V 1.75
O: 0.4938 0.8458 0.8628  1 V 1.75
O: 0.0062 0.8458 0.8628  1 V 1.75
V: 0.7500 0.2533 0.0767  4 O 1.71-1.78
O: 0.0062 0.3458 0.6372  1 V 1.75
O: 0.5062 0.1542 0.1372  1 V 1.75
V: 0.2500 0.7467 0.9233  4 O 1.71-1.78
O: 0.7500 0.7337 0.5938  1 V 1.78
O: 0.2500 0.7663 0.0938  1 V 1.78
V: 0.7500 0.7533 0.4233  4 O 1.71-1.78
K: 0.7500 0.8134 0.0946  7 O 2.79-3.08
O: 0.5062 0.6542 0.3628  1 V 1.75
K: 0.2500 0.6866 0.5946  7 O 2.79-3.08
K: 0.2500 0.1866 0.9054  7 O 2.79-3.08
O: 0.9938 0.1542 0.1372  1 V 1.75
Pb: 0.2500 0.5178 0.2257  3 O 2.34-2.40
V: 0.2500 0.2467 0.5767  4 O 1.71-1.78
O: 0.2500 0.2663 0.4062  1 V 1.78
O: 0.2500 0.5384 0.8804  1 V 1.71
Pb: 0.2500 0.0178 0.2743  3 O 2.34-2.40
O: 0.7500 0.9616 0.3804  1 V 1.71

## Q
Below is a relaxed structure of KVPbO4, with properties calculated at the GGA+U level.

Properties
magnetic moment: 0.0 μB per cell

Cell lengths 6.3779, 6.1545, 7.4278 Å; angles 90.00, 109.76, 90.00 degrees
With the nearest neighbours (Å) after each atom.
Sites, in units of the cell vectors:
O: 0.4487 0.7500 0.5446  1 V 1.75
Pb: 0.2050 0.2500 0.5054  3 O 2.34-2.36
O: 0.0927 0.9820 0.2688  1 V 1.76
K: 0.2917 0.2500 0.0452  4 O 2.74-2.93
V: 0.2650 0.7500 0.3075  4 O 1.72-1.76
O: 0.9073 0.0180 0.7312  1 V 1.76
O: 0.4273 0.7500 0.1644  1 V 1.72
O: 0.5727 0.2500 0.8356  1 V 1.72
V: 0.7350 0.2500 0.6925  4 O 1.72-1.76
K: 0.7083 0.7500 0.9548  4 O 2.74-2.93
O: 0.5513 0.2500 0.4554  1 V 1.75
Pb: 0.7950 0.7500 0.4946  3 O 2.34-2.36
O: 0.9073 0.4820 0.7312  1 V 1.76
O: 0.0927 0.5180 0.2688  1 V 1.76

Short version: P is the most stable of them.